AlBiN2F | GGA-PBE | optimized geometry

abc: 3.9572 3.9572 3.7306
angles: 90.00 90.00 90.00
Closest atoms and distances in Å follow each position.
Fractional coordinates of all 5 atoms:
N (0.5000, 0.0000, 0.0000)  2 Al 1.98
Al (0.0000, 0.0000, 0.0000)  2 F 1.87, 4 N 1.98
Bi (0.5000, 0.5000, 0.5000)  8 N 2.72, 4 F 2.80
N (0.0000, 0.5000, 0.0000)  2 Al 1.98
F (0.0000, 0.0000, 0.5000)  2 Al 1.87

## Properties
The symmetry is P4/mmm (123). The uncorrected formation energy is -0.544 eV/atom. Its energy above the lowest structure with this stoichiometry is 0.00 eV per formula unit. The density of states at the Fermi level comes out at 2.17 states/eV/f.u.